First-principles (PBE) data for a relaxed structure of CrNi2, as listed in the Alexandria database.

Calculated values
total magnetization: 0.00 μB per formula unit
formation energy from the elements: -0.440 kcal/mol of atoms
DFT total energy: -7.081 eV/atom

Geometry as POSCAR:
```
CrNi2
1.0
1.231 -6.577 0.000
1.231 6.577 0.000
0.000 0.000 4.053
Cr Ni
2 4
Cartesian
1.231 5.078 3.039 Cr
1.231 -5.078 1.013 Cr
1.231 3.695 1.013 Ni
1.231 0.680 3.039 Ni
1.231 -0.680 1.013 Ni
1.231 -3.695 3.039 Ni
```